Here is an optimized crystal structure of BaOsO3 from OQMD via LeMat-Bulk. Energies are from GGA-PBE.

Cell: 4.9944 9.7241 6.7532 Å, 90.00 90.00 90.00°
Closest atoms and distances in Å follow each position.
Space group Pnma (No. 62)
Inequivalent atoms, fractional coordinates:
Ba 0.0000 0.0000 0.0000  8 O 2.70-2.85
Os 0.0076 0.2500 0.4595  3 O 1.83-1.92
O 0.0056 0.6036 0.3714  1 Os 1.83
O 0.1327 0.7500 0.8051  2 Os 1.92-2.08

The value obtained for the spin magnetization is 0.00 μB per formula unit. Its uncorrected energy is -139.46 eV for the cell shown.

***

Here is an optimized crystal structure of BaOsO3 from OQMD via LeMat-Bulk. Energies are from GGA-PBE.

Cell: 5.6942 5.6942 16.3143 Å, 90.00 90.00 120.00°
Closest atoms and distances in Å follow each position.
Space group R-3 (No. 148, hexagonal axes)
Inequivalent atoms, fractional coordinates:
Ba 0.0000 0.0000 0.1295  6 O 2.54-2.83
Os 0.0000 0.0000 0.3344  6 O 2.03-2.04
O 0.0015 0.5937 0.9339  2 Os 2.03-2.04

The value obtained for the spin magnetization is 0.00 μB per formula unit. Its uncorrected energy is -212.96 eV for the cell shown.

***

Here is an optimized crystal structure of BaOsO3 from OQMD via LeMat-Bulk. Energies are from GGA-PBE.

Cell: 4.0295 4.0295 4.8878 Å, 90.00 90.00 90.00°
Closest atoms and distances in Å follow each position.
Space group P4mm (No. 99)
Inequivalent atoms, fractional coordinates:
Ba 0.0000 0.0000 0.0000  2 O 2.44
Os 0.5000 0.5000 0.5027  4 O 2.01
O 0.0000 0.0000 0.5000  4 O 2.01
O 0.0000 0.5000 0.5022  2 Os 2.01, 2 O 2.01

The value obtained for the spin magnetization is 0.08 μB per formula unit. Its uncorrected energy is -29.88 eV for the cell shown.

***

Here is an optimized crystal structure of BaOs2O4 from OQMD via LeMat-Bulk. Energies are from GGA-PBE.

Cell: 9.3258 9.3258 9.3258 Å, 90.00 90.00 90.00°
Closest atoms and distances in Å follow each position.
Space group Fd-3m (No. 227, origin choice 2)
Inequivalent atoms, fractional coordinates:
Ba 0.1250 0.1250 0.1250  4 O 2.49
Os 0.0000 0.0000 0.5000  6 O 2.10
O 0.0289 0.0289 0.7211  3 Os 2.10

The value obtained for the spin magnetization is 2.00 μB per formula unit. Its uncorrected energy is -405.96 eV for the cell shown.

***

Here is an optimized crystal structure of Ba3Os2O8 from OQMD via LeMat-Bulk. Energies are from GGA-PBE.

Cell: 5.8906 5.8906 21.8005 Å, 90.00 90.00 120.00°
Closest atoms and distances in Å follow each position.
Space group R-3m (No. 166, hexagonal axes)
Inequivalent atoms, fractional coordinates:
Ba 0.0000 0.0000 0.0000  6 O 2.80
Ba 0.0000 0.0000 0.2017  4 O 2.55-2.73
Os 0.0000 0.0000 0.4028  4 O 1.83-1.87
O 0.0000 0.0000 0.3188  1 Os 1.83
O 0.0047 0.5023 0.7694  1 Os 1.87

The value obtained for the spin magnetization is 2.01 μB per formula unit. Its uncorrected energy is -269.85 eV for the cell shown.

***

Here is an optimized crystal structure of BaOsO3 from OQMD via LeMat-Bulk. Energies are from GGA-PBE.

Cell: 6.6044 6.6044 14.5721 Å, 90.00 90.00 120.00°
Closest atoms and distances in Å follow each position.
Space group R-3c (No. 167, hexagonal axes)
Inequivalent atoms, fractional coordinates:
Ba 0.0000 0.0000 0.0000  6 O 2.71
Os 0.0000 0.0000 0.2500  3 O 1.80
O 0.0000 0.2723 0.2500  1 Os 1.80

The value obtained for the spin magnetization is 2.00 μB per formula unit. Its uncorrected energy is -214.46 eV for the cell shown.